{
  "formula": "VCoPO2",
  "functional": "GGA+U",
  "state": "relaxed",
  "lattice_angstrom": [[3.6407, 0.0000, 0.0000], [0.0000, 3.6407, 0.0000], [0.0000, 0.0000, 5.1959]],
  "species": ["V", "Co", "P", "O", "O"],
  "frac_coords": [[0.0000, 0.0000, 0.0000], [0.5000, 0.5000, 0.5000], [0.0000, 0.0000, 0.5000], [0.0000, 0.5000, 0.0000], [0.5000, 0.0000, 0.0000]],
  "de_polymorph_mev_per_atom": 0,
  "final_energy_ev_per_cell": -30.897
}